Entry 1:
The following is a GGA-PBE calculation of an optimized crystal structure of NdB4, from Alexandria via LeMat-Bulk.

Values from the calculation:
Calculated volume in Å³/atom: 22.1
Size of the total moment in μB/f.u.: 0.00
Formation enthalpy at 0 K in eV/atom: 3.2217
Excess energy over the best structure of this formula in the dataset in meV/atom: 3781
E_tot in eV per atom: -3.0738

Cell: 4.7993 4.7993 4.7993 Å, 90.00 90.00 90.00°
Space group Pm-3m (No. 221)
Symmetry-distinct sites (fractional):
Nd1 0.0000 0.0000 0.0000 [1 per cell]
B1 0.0000 0.0000 0.5000 [3 per cell]
B2 0.5000 0.5000 0.5000 [1 per cell]

=====

Entry 2:
The following is a GGA-PBE calculation of an optimized crystal structure of YMo3Au, from Alexandria via LeMat-Bulk.

Values from the calculation:
Calculated volume in Å³/atom: 23.7
Size of the total moment in μB/f.u.: 0.00
Formation enthalpy at 0 K in eV/atom: 1.7180
Excess energy over the best structure of this formula in the dataset in meV/atom: 0
E_tot in eV per atom: -6.7289

Cell: 4.9145 4.9145 4.9145 Å, 90.00 90.00 90.00°
Space group Pm-3m (No. 221)
Symmetry-distinct sites (fractional):
Y1 0.0000 0.0000 0.0000 [1 per cell]
Mo1 0.0000 0.5000 0.5000 [3 per cell]
Au1 0.5000 0.5000 0.5000 [1 per cell]

=====

Entry 3:
The following is a GGA-PBE calculation of an optimized crystal structure of Tb2MnSi3Pt4, from Alexandria via LeMat-Bulk.

Values from the calculation:
Calculated volume in Å³/atom: 17.7
Formation energy (no corrections) in kJ per mole of atoms: -95
Size of the total moment in μB/f.u.: 3.41
E_tot in eV per atom: -6.8739

Cell: 4.1738 4.1738 10.1558 Å, 90.00 90.00 90.00°
Space group P-4m2 (No. 115)
Symmetry-distinct sites (fractional):
Tb1 0.0000 0.5000 0.2475 [2 per cell]
Mn1 0.5000 0.5000 0.0000 [1 per cell]
Si1 0.0000 0.0000 0.0000 [1 per cell]
Si2 0.0000 0.5000 0.6322 [2 per cell]
Pt1 0.0000 0.0000 0.5000 [1 per cell]
Pt2 0.0000 0.5000 0.8625 [2 per cell]
Pt3 0.5000 0.5000 0.5000 [1 per cell]

=====

Entry 4:
The following is a GGA-PBE calculation of an optimized crystal structure of Zn8PdRh2, from Alexandria via LeMat-Bulk.

Values from the calculation:
Calculated volume in Å³/atom: 15.2
Size of the total moment in μB/f.u.: 0.00
Formation enthalpy at 0 K in eV/atom: -0.2213
Excess energy over the best structure of this formula in the dataset in meV/atom: 34
E_tot in eV per atom: -2.9565

Cell: 12.9951 5.0617 5.1711 Å, 90.00 100.13 90.00°
Space group C2/m (No. 12)
Symmetry-distinct sites (fractional):
Zn1 0.0802 0.0000 0.3885 [4 per cell]
Zn2 0.0924 0.2483 0.9116 [8 per cell]
Zn3 0.2210 0.5000 0.3131 [4 per cell]
Pd1 0.0000 0.5000 0.5000 [2 per cell]
Rh1 0.2472 0.0000 0.1884 [4 per cell]

=====

Entry 5:
The following is a GGA-PBE calculation of an optimized crystal structure of InAsNF2, from Alexandria via LeMat-Bulk.

Values from the calculation:
Calculated volume in Å³/atom: 16.6
Formation energy (no corrections) in kJ per mole of atoms: -31
Size of the total moment in μB/f.u.: 1.00
Excess energy over the best structure of this formula in the dataset in meV/atom: 257
E_tot in eV per atom: -4.2176

Cell: 4.2907 4.2907 4.5200 Å, 90.00 90.00 90.00°
Space group P4/mmm (No. 123)
Symmetry-distinct sites (fractional):
In1 0.0000 0.0000 0.0000 [1 per cell]
As1 0.5000 0.5000 0.5000 [1 per cell]
N1 0.0000 0.0000 0.5000 [1 per cell]
F1 0.0000 0.5000 0.0000 [2 per cell]

=====

Entry 6:
The following is a GGA-PBE calculation of an optimized crystal structure of YPbSe2, from Alexandria via LeMat-Bulk.

Values from the calculation:
Calculated volume in Å³/atom: 33.3
Formation energy (no corrections) in kJ per mole of atoms: -69
Size of the total moment in μB/f.u.: 0.71
E_tot in eV per atom: -4.9957

Cell: 4.1502 4.1502 26.7608 Å, 90.00 90.00 120.00°
Space group R3m (No. 160, hexagonal axes)
Symmetry-distinct sites (fractional):
Y1 0.0000 0.0000 0.0000 [3 per cell]
Pb1 0.0000 0.0000 0.7668 [3 per cell]
Se1 0.0000 0.0000 0.2854 [3 per cell]
Se2 0.0000 0.0000 0.4919 [3 per cell]